Computed, not measured: a geometry-optimized PbSeOF2 structure at the GGA-PBEsol level of DFT.

Cell lengths 4.2142, 4.5360, 4.5360 Å; angles 90.00, 90.00, 90.00 degrees
Closest atoms and distances in Å follow each position.
Fractional positions:
O: 0.5000 0.0000 0.0000  2 Pb 2.11
F: 0.0000 0.5000 0.0000  2 Pb 2.27
Se: 0.5000 0.5000 0.5000  8 F 3.10, 4 O 3.21
Pb: 0.0000 0.0000 0.0000  2 O 2.11, 4 F 2.27
F: 0.0000 0.0000 0.5000  2 Pb 2.27

total magnetization	2.7	Bohr magnetons per cell
ρ	6.51	g/cm³
energy	-20.5	eV/f.u.
SG	No. 123
volume	17.3	Å³ per atom
uncorrected formation energy	-705	meV per atom



Computed, not measured: a geometry-optimized SiPbO2F structure at the GGA-PBEsol level of DFT.

Cell lengths 3.7306, 3.7306, 4.3220 Å; angles 90.00, 90.00, 90.00 degrees
Closest atoms and distances in Å follow each position.
Fractional positions:
F: 0.0000 0.0000 0.5000  2 Si 2.16
O: 0.0000 0.5000 0.0000  2 Si 1.87
O: 0.5000 0.0000 0.0000  2 Si 1.87
Pb: 0.5000 0.5000 0.5000  4 F 2.64, 8 O 2.85
Si: 0.0000 0.0000 0.0000  4 O 1.87

total magnetization	0.0	Bohr magnetons per cell
ρ	7.90	g/cm³
energy	-30.2	eV/f.u.
SG	No. 123
volume	12.0	Å³ per atom
uncorrected formation energy	-1598	meV per atom



Computed, not measured: a geometry-optimized SiPbO2F structure at the GGA-PBEsol level of DFT.

Cell lengths 4.2705, 4.2705, 4.3668 Å; angles 90.00, 90.00, 90.00 degrees
Closest atoms and distances in Å follow each position.
Fractional positions:
F: 0.0000 0.0000 0.5000  2 Pb 2.18
Si: 0.5000 0.5000 0.5000  4 F 3.02, 8 O 3.05
O: 0.5000 0.0000 0.0000  2 Pb 2.14
Pb: 0.0000 0.0000 0.0000  4 O 2.14, 2 F 2.18
O: 0.0000 0.5000 0.0000  2 Pb 2.14

total magnetization	0.0	Bohr magnetons per cell
ρ	5.97	g/cm³
energy	-24.2	eV/f.u.
SG	No. 123
volume	15.9	Å³ per atom
uncorrected formation energy	-405	meV per atom



Computed, not measured: a geometry-optimized TcPbOF2 structure at the GGA-PBEsol level of DFT.

Cell lengths 4.3350, 4.5653, 4.5653 Å; angles 90.00, 90.00, 90.00 degrees
Closest atoms and distances in Å follow each position.
Fractional positions:
Pb: 0.0000 0.0000 0.0000  2 O 2.17, 4 F 2.28
F: 0.0000 0.5000 0.0000  2 Pb 2.28
O: 0.5000 0.0000 0.0000  2 Pb 2.17
Tc: 0.5000 0.5000 0.5000  8 F 3.15, 4 O 3.23
F: 0.0000 0.0000 0.5000  2 Pb 2.28

total magnetization	4.6	Bohr magnetons per cell
ρ	6.60	g/cm³
energy	-25.6	eV/f.u.
SG	No. 123
volume	18.1	Å³ per atom
uncorrected formation energy	-238	meV per atom